U3Pa2: optimized geometry, GGA-PBE.

abc: 5.7341 5.7341 12.0384
angles: 90.00 90.00 120.00
Space group R-3m (No. 166, hexagonal axes)
Asymmetric unit:
U1 0.0000 0.5000 0.0000 [9 per cell]
Pa1 0.0000 0.0000 0.1240 [6 per cell]

energy of formation: 1.5 eV/f.u.
total DFT energy (no corrections): -10.27 eV per atom
total magnetization: 0.00 μB per atom
crystal system: trigonal